Entry 1:
VASP calculation (GGA-PBE) on a geometry-optimized BaMn2Co structure.

Values from the calculation:
**Calculated formation energy**: 0.5783 eV per atom
**E above lowest polymorph**: 19.2 kJ/mol of atoms

Unit cell a=3.944 b=3.975 c=6.151 alpha=90.00 beta=90.00 gamma=90.00
Space group Pmm2 (No. 25)
Unique sites:
1 Ba 0.000 0.000 0.000 x1
2 Mn 0.000 0.500 0.513 x1
3 Mn 0.500 0.000 0.515 x1
4 Co 0.500 0.500 0.731 x1

=====

Entry 2:
VASP calculation (GGA-PBE) on a geometry-optimized BaMnCo structure.

Values from the calculation:
**Calculated formation energy**: 0.5457 eV per atom
**E above lowest polymorph**: 24.0 kJ/mol of atoms

Unit cell a=4.1042 b=4.1042 c=4.9921 alpha=90.00 beta=90.00 gamma=120.00
Space group P-6m2 (No. 187)
Unique sites:
1 Ba 0.0000 0.0000 0.0000 x1
2 Mn 0.6667 0.3333 0.5000 x1
3 Co 0.3333 0.6667 0.5000 x1